[1]
This record from Alexandria describes a relaxed structure of SiMoIr2. The functional is PBE.

Summary:
crystal system	tetragonal

POSCAR file:
```
SiMoIr2
1.0
3.886 0.000 0.000
0.000 3.886 0.000
0.000 0.000 7.625
Si Mo Ir
2 2 4
Direct
0.000 0.000 0.000
0.500 0.500 0.500
0.000 0.000 0.500
0.500 0.500 0.000
0.000 0.500 0.250
0.000 0.500 0.750
0.500 0.000 0.250
0.500 0.000 0.750
```


[2]
This record from Alexandria describes a relaxed structure of SiMo2Ir. The functional is PBE.

Summary:
crystal system	monoclinic

POSCAR file:
```
SiMo2Ir
1.0
9.870 0.000 0.000
0.000 2.786 0.000
-1.623 0.000 4.289
Si Mo Ir
2 4 2
Direct
0.000 0.000 0.000
0.500 0.500 0.000
0.264 0.000 0.848
0.462 0.000 0.482
0.764 0.500 0.848
0.962 0.500 0.482
0.206 0.500 0.311
0.706 0.000 0.311
```


[3]
This record from Alexandria describes a relaxed structure of SiMoIr2. The functional is PBE.

Summary:
crystal system	tetragonal

POSCAR file:
```
SiMoIr2
1.0
4.622 0.000 0.000
0.000 4.622 0.000
0.000 0.000 2.753
Si Mo Ir
1 1 2
Direct
0.000 0.000 0.000
0.500 0.500 0.000
0.000 0.500 0.500
0.500 0.000 0.500
```


[4]
This record from Alexandria describes a relaxed structure of SiMo2Ir. The functional is PBE.

Summary:
crystal system	tetragonal

POSCAR file:
```
SiMo2Ir
1.0
3.814 0.000 0.000
0.000 3.814 0.000
0.000 0.000 8.123
Si Mo Ir
2 4 2
Direct
0.000 0.000 0.000
0.500 0.500 0.500
0.000 0.000 0.500
0.000 0.500 0.250
0.500 0.000 0.750
0.500 0.500 0.000
0.000 0.500 0.750
0.500 0.000 0.250
```


[5]
This record from Alexandria describes a relaxed structure of SiMoIr2. The functional is PBE.

Summary:
crystal system	trigonal

POSCAR file:
```
SiMoIr2
1.0
2.808 0.000 0.000
-1.404 2.432 0.000
0.000 0.000 25.462
Si Mo Ir
3 3 6
Direct
0.000 0.000 0.000
0.333 0.667 0.667
0.667 0.333 0.333
0.000 0.000 0.751
0.333 0.667 0.418
0.667 0.333 0.084
0.000 0.000 0.261
0.000 0.000 0.501
0.333 0.667 0.167
0.333 0.667 0.927
0.667 0.333 0.594
0.667 0.333 0.834
```


[6]
This record from Alexandria describes a relaxed structure of SiMoIr2. The functional is PBE.

Summary:
crystal system	monoclinic

POSCAR file:
```
SiMoIr2
1.0
2.795 0.000 0.000
0.000 4.093 0.000
-1.390 0.000 5.039
Si Mo Ir
1 1 2
Direct
0.000 0.000 0.000
0.500 0.000 0.500
0.128 0.500 0.760
0.872 0.500 0.240
```


[7]
This record from Alexandria describes a relaxed structure of SiMoIr2. The functional is PBE.

Summary:
crystal system	orthorhombic

POSCAR file:
```
SiMoIr2
1.0
2.868 0.000 0.000
0.000 4.414 0.000
0.000 0.000 9.078
Si Mo Ir
2 2 4
Direct
0.000 0.000 0.000
0.500 0.500 0.500
0.000 0.500 0.727
0.500 0.000 0.227
0.000 0.000 0.501
0.000 0.500 0.291
0.500 0.000 0.791
0.500 0.500 0.001
```


[8]
This record from Alexandria describes a relaxed structure of SiMoIr2. The functional is PBE.

Summary:
crystal system	tetragonal

POSCAR file:
```
SiMoIr2
1.0
3.846 0.000 0.000
0.000 3.846 0.000
0.000 0.000 7.764
Si Mo Ir
2 2 4
Direct
0.000 0.000 0.000
0.500 0.500 0.500
0.000 0.500 0.250
0.500 0.000 0.750
0.000 0.000 0.500
0.000 0.500 0.750
0.500 0.000 0.250
0.500 0.500 0.000
```


Results for ΔE_f (raw): -228 -252 -6 -119 -216 -319 -327 -201 (in meV per atom, following the order of the records).